No. 1
First-principles (PBE) data for a relaxed Er3Tm2Hg3 crystal, as listed in Alexandria via LeMat-Bulk.

## Properties
DFT total energy (eV/atom): -3.299
E_form (meV/atom): -357
Total magnetic moment (μB per cell): 0.00

Geometry as CIF:
```
data_Er3Tm2Hg3
_chemical_formula_sum 'Er6 Tm4 Hg6'
_symmetry_space_group_name_H-M 'I m m m'
_symmetry_Int_Tables_number 71
_symmetry_space_group_name_Hall '-I 2 2'
_cell_length_a 3.706
_cell_length_b 5.240
_cell_length_c 21.778
_cell_angle_alpha 90.00
_cell_angle_beta 90.00
_cell_angle_gamma 90.00
loop_
_atom_site_label
_atom_site_fract_x
_atom_site_fract_y
_atom_site_fract_z
_atom_site_occupancy
Er1 0.000 0.000 0.000 1
Er2 0.000 0.500 0.122 1
Tm1 0.000 0.000 0.233 1
Hg1 0.000 0.000 0.500 1
Hg2 0.000 0.500 0.381 1
```

---

No. 2
First-principles (PBE) data for a relaxed Er3Tm2Hg2 crystal, as listed in Alexandria via LeMat-Bulk.

## Properties
DFT total energy (eV/atom): -3.497
E_form (meV/atom): -178
Total magnetic moment (μB per cell): 0.00

Geometry as CIF:
```
data_Er3Tm2Hg2
_chemical_formula_sum 'Er6 Tm4 Hg4'
_symmetry_space_group_name_H-M 'C m m m'
_symmetry_Int_Tables_number 65
_symmetry_space_group_name_Hall '-C 2 2'
_cell_length_a 3.528
_cell_length_b 31.770
_cell_length_c 3.511
_cell_angle_alpha 90.00
_cell_angle_beta 90.00
_cell_angle_gamma 90.00
loop_
_atom_site_label
_atom_site_fract_x
_atom_site_fract_y
_atom_site_fract_z
_atom_site_occupancy
Er1 0.000 0.000 0.000 1
Er2 0.000 0.127 0.000 1
Tm1 0.000 0.296 0.500 1
Hg1 0.000 0.438 0.500 1
```

---

No. 3
First-principles (PBE) data for a relaxed Er3Tm2Hg7 crystal, as listed in Alexandria via LeMat-Bulk.

## Properties
DFT total energy (eV/atom): -2.349
E_form (meV/atom): -287
Total magnetic moment (μB per cell): 0.00

Geometry as CIF:
```
data_Er3Tm2Hg7
_chemical_formula_sum 'Er6 Tm4 Hg14'
_symmetry_space_group_name_H-M 'C m m m'
_symmetry_Int_Tables_number 65
_symmetry_space_group_name_Hall '-C 2 2'
_cell_length_a 5.141
_cell_length_b 22.744
_cell_length_c 5.378
_cell_angle_alpha 90.00
_cell_angle_beta 90.00
_cell_angle_gamma 90.00
loop_
_atom_site_label
_atom_site_fract_x
_atom_site_fract_y
_atom_site_fract_z
_atom_site_occupancy
Er1 0.000 0.000 0.000 1
Er2 0.000 0.165 0.000 1
Tm1 0.000 0.355 0.500 1
Hg1 0.000 0.076 0.500 1
Hg2 0.000 0.222 0.500 1
Hg3 0.000 0.416 0.000 1
Hg4 0.000 0.500 0.500 1
```

---

No. 4
First-principles (PBE) data for a relaxed Er2Tm3Hg7 crystal, as listed in Alexandria via LeMat-Bulk.

## Properties
DFT total energy (eV/atom): -2.335
E_form (meV/atom): -281
Total magnetic moment (μB per cell): 0.00

Geometry as CIF:
```
data_Er2Tm3Hg7
_chemical_formula_sum 'Er4 Tm6 Hg14'
_symmetry_space_group_name_H-M 'C m m m'
_symmetry_Int_Tables_number 65
_symmetry_space_group_name_Hall '-C 2 2'
_cell_length_a 5.152
_cell_length_b 22.765
_cell_length_c 5.361
_cell_angle_alpha 90.00
_cell_angle_beta 90.00
_cell_angle_gamma 90.00
loop_
_atom_site_label
_atom_site_fract_x
_atom_site_fract_y
_atom_site_fract_z
_atom_site_occupancy
Er1 0.000 0.145 0.000 1
Tm1 0.000 0.337 0.500 1
Tm2 0.000 0.500 0.500 1
Hg1 0.000 0.000 0.000 1
Hg2 0.000 0.083 0.500 1
Hg3 0.000 0.279 0.000 1
Hg4 0.000 0.425 0.000 1
```

---

No. 5
First-principles (PBE) data for a relaxed Er2TmHg4 crystal, as listed in Alexandria via LeMat-Bulk.

## Properties
DFT total energy (eV/atom): -2.068
Energy relative to the lowest polymorph listed for this composition (eV/f.u.): 2.66
E_form (meV/atom): 47
Total magnetic moment (μB per cell): 0.00

Geometry as CIF:
```
data_Er2TmHg4
_chemical_formula_sum 'Er4 Tm2 Hg8'
_symmetry_space_group_name_H-M 'I 4/m m m'
_symmetry_Int_Tables_number 139
_symmetry_space_group_name_Hall '-I 4 2'
_cell_length_a 5.557
_cell_length_b 5.557
_cell_length_c 15.188
_cell_angle_alpha 90.00
_cell_angle_beta 90.00
_cell_angle_gamma 90.00
loop_
_atom_site_label
_atom_site_fract_x
_atom_site_fract_y
_atom_site_fract_z
_atom_site_occupancy
Er1 0.000 0.000 0.103 1
Tm1 0.000 0.000 0.500 1
Hg1 0.000 0.000 0.301 1
Hg2 0.000 0.500 0.000 1
```

---

No. 6
First-principles (PBE) data for a relaxed ErTm6Hg2 crystal, as listed in Alexandria via LeMat-Bulk.

## Properties
DFT total energy (eV/atom): -3.757
E_form (meV/atom): -201
Total magnetic moment (μB per cell): 0.00

Geometry as CIF:
```
data_ErTm6Hg2
_chemical_formula_sum 'Er2 Tm12 Hg4'
_symmetry_space_group_name_H-M 'C 1 2/m 1'
_symmetry_Int_Tables_number 12
_symmetry_space_group_name_Hall '-C 2y'
_cell_length_a 12.414
_cell_length_b 3.669
_cell_length_c 11.679
_cell_angle_alpha 90.00
_cell_angle_beta 108.99
_cell_angle_gamma 90.00
loop_
_atom_site_label
_atom_site_fract_x
_atom_site_fract_y
_atom_site_fract_z
_atom_site_occupancy
Er1 0.000 0.000 0.000 1
Tm1 0.015 0.000 0.338 1
Tm2 0.187 0.500 0.584 1
Tm3 0.188 0.500 0.876 1
Hg1 0.144 0.500 0.208 1
```